VASP calculation (GGA-PBEsol) on a relaxed structure of MnAlAs2.

Output
- D(E_F) (states/eV per atom) = 0.549
- space-group type = R-3m, No. 166
- ΔE_f (eV per atom) = 0.04

Geometry as POSCAR:
```
MnAlAs2
1.0
2.894 0.000 0.000
1.447 2.506 0.000
1.447 0.835 8.849
As Mn Al
2 1 1
direct
0.232 0.232 0.304 As
0.768 0.768 0.696 As
0.500 0.500 0.500 Mn
0.000 0.000 0.000 Al
```

VASP calculation (GGA-PBEsol) on a relaxed structure of CrRhN2.

Output
- D(E_F) (states/eV per atom) = 0.913
- ΔE_f (raw) (eV per formula unit) = 2.47
- distance to the lowest polymorph of the same formula (eV/atom) = 0.089
- space-group type = Fm-3m, No. 225

Geometry as POSCAR:
```
CrRhN2
1.0
3.648 0.000 0.000
1.824 3.160 0.000
1.824 1.053 2.979
Cr Rh N
1 1 2
direct
0.000 0.000 0.000 Cr
0.500 0.500 0.500 Rh
0.250 0.250 0.250 N
0.750 0.750 0.750 N
```

VASP calculation (GGA-PBEsol) on a relaxed structure of AlRe2Tc.

Output
- D(E_F) (states/eV per atom) = 0.573
- space-group type = Immm, No. 71
- ΔE_f (eV per atom) = -0.17

Geometry as POSCAR:
```
AlRe2Tc
1.0
-0.428 -0.487 -2.988
-1.583 -3.844 0.853
-2.983 3.873 1.361
Re Tc Al
2 1 1
direct
0.752 0.752 0.503 Re
0.248 0.248 0.497 Re
0.000 0.500 0.000 Tc
0.500 0.000 0.000 Al
```

VASP calculation (GGA-PBEsol) on a relaxed structure of LiSi2Rh2.

Output
- D(E_F) (states/eV per atom) = 0.266
- ΔE_f (raw) (eV per formula unit) = -4.05
- distance to the lowest polymorph of the same formula (eV/atom) = 0.000
- space-group type = P4/mbm, No. 127

Geometry as POSCAR:
```
LiSi2Rh2
1.0
-2.614 0.766 -0.142
-0.903 -4.111 -5.565
-1.778 -5.286 4.193
Li Si Rh
2 4 4
direct
0.000 0.000 0.000 Li
0.000 0.500 0.500 Li
0.000 0.146 0.646 Si
0.000 0.354 0.146 Si
0.000 0.646 0.854 Si
0.000 0.854 0.354 Si
0.500 0.149 0.351 Rh
0.500 0.351 0.851 Rh
0.500 0.649 0.149 Rh
0.500 0.851 0.649 Rh
```

VASP calculation (GGA-PBEsol) on a relaxed structure of VCr2Re.

Output
- D(E_F) (states/eV per atom) = 0.612
- space-group type = Fm-3m, No. 225
- ΔE_f (eV per atom) = -0.15

Geometry as POSCAR:
```
VCr2Re
1.0
4.126 0.000 0.000
2.063 3.573 0.000
2.063 1.191 3.369
Re V Cr
1 1 2
direct
0.500 0.500 0.500 Re
0.000 0.000 0.000 V
0.250 0.250 0.250 Cr
0.750 0.750 0.750 Cr
```

VASP calculation (GGA-PBEsol) on a relaxed structure of Zn2TeIr.

Output
- D(E_F) (states/eV per atom) = 0.415
- ΔE_f (raw) (eV per formula unit) = 0.75
- space-group type = I4/mmm, No. 139

Geometry as POSCAR:
```
Zn2TeIr
1.0
3.964 0.000 0.000
0.000 3.964 0.000
-1.982 -1.982 4.148
Ir Te Zn
1 1 2
direct
0.500 0.500 0.000 Ir
0.000 0.000 0.000 Te
0.750 0.250 0.500 Zn
0.250 0.750 0.500 Zn
```

VASP calculation (GGA-PBEsol) on a relaxed structure of KSi2Mo.

Output
- D(E_F) (states/eV per atom) = 1.006
- ΔE_f (raw) (eV per formula unit) = 0.18
- distance to the lowest polymorph of the same formula (eV/atom) = 0.000
- space-group type = P4/mmm, No. 123

Geometry as POSCAR:
```
KSi2Mo
1.0
3.207 0.000 0.000
0.000 3.207 0.000
0.000 0.000 7.520
K Mo Si
1 1 2
direct
0.500 0.500 0.000 K
0.500 0.500 0.500 Mo
0.000 0.000 0.665 Si
0.000 0.000 0.335 Si
```

VASP calculation (GGA-PBEsol) on a relaxed structure of CaSi2Ni.

Output
- D(E_F) (states/eV per atom) = 0.371
- ΔE_f (raw) (eV per formula unit) = -2.54
- space-group type = P6_3/mmc, No. 194

Geometry as POSCAR:
```
CaSi2Ni
1.0
3.852 0.000 0.000
-1.926 3.336 0.000
0.000 0.000 10.461
Ni Ca Si
2 2 4
direct
0.000 0.000 0.000 Ni
0.000 0.000 0.500 Ni
0.333 0.667 0.750 Ca
0.667 0.333 0.250 Ca
0.333 0.667 0.063 Si
0.667 0.333 0.563 Si
0.667 0.333 0.937 Si
0.333 0.667 0.437 Si
```

VASP calculation (GGA-PBEsol) on a relaxed structure of Ga2TcAu.

Output
- D(E_F) (states/eV per atom) = 0.488
- space-group type = Fm-3m, No. 225
- ΔE_f (eV per atom) = 0.00

Geometry as POSCAR:
```
Ga2TcAu
1.0
-2.127 0.406 -3.788
-4.360 -0.127 -0.077
-2.273 3.626 -0.848
Au Tc Ga
1 1 2
direct
0.500 0.500 0.500 Au
0.000 0.000 0.000 Tc
0.250 0.250 0.250 Ga
0.750 0.750 0.750 Ga
```

VASP calculation (GGA-PBEsol) on a relaxed structure of AlSb2OsF.

Output
- D(E_F) (states/eV per atom) = 0.683
- ΔE_f (raw) (eV per formula unit) = 4.94
- space-group type = P4/mmm, No. 123

Geometry as POSCAR:
```
AlSb2OsF
1.0
4.501 0.000 0.000
0.000 5.098 0.000
0.000 0.000 5.098
Sb Os Al F
2 1 1 1
direct
0.000 0.000 0.500 Sb
0.000 0.500 0.000 Sb
0.500 0.000 0.000 Os
0.000 0.000 0.000 Al
0.500 0.500 0.500 F
```

VASP calculation (GGA-PBEsol) on a relaxed structure of KOsBr2.

Output
- D(E_F) (states/eV per atom) = 0.875
- ΔE_f (raw) (eV per formula unit) = 1.56
- distance to the lowest polymorph of the same formula (eV/atom) = 0.289
- space-group type = R-3m, No. 166

Geometry as POSCAR:
```
KOsBr2
1.0
3.275 0.000 0.000
1.637 2.836 0.000
1.637 0.945 9.499
K Os Br
1 1 2
direct
0.500 0.500 0.500 K
0.000 0.000 0.000 Os
0.917 0.917 0.250 Br
0.083 0.083 0.750 Br
```

VASP calculation (GGA-PBEsol) on a relaxed structure of La2SeBr.

Output
- D(E_F) (states/eV per atom) = 0.564
- ΔE_f (raw) (eV per formula unit) = -6.71
- distance to the lowest polymorph of the same formula (eV/atom) = 0.021
- space-group type = P4mm, No. 99

Geometry as POSCAR:
```
La2SeBr
1.0
4.249 0.000 0.000
0.000 4.249 0.000
0.000 0.000 5.988
Se Br La
1 1 2
direct
0.000 0.000 0.376 Se
0.500 0.500 0.874 Br
0.000 0.000 0.876 La
0.500 0.500 0.374 La
```